The following is a DFT calculation (GGA+U) of a geometry-optimized V2TcPbO8 structure.

Computed properties:
magnetic moment	3.001	μB/cell
E_tot	-88.4	eV/cell

Unit cell a=5.2828 b=5.2828 c=7.2912 alpha=90.25 beta=90.25 gamma=66.17
Positions (direct):
V1 0.1401 0.1401 0.2823
V2 0.8599 0.8599 0.7177
Tc1 0.5000 0.5000 0.5000
Pb1 0.5000 0.5000 0.0000
O1 0.2157 0.2157 0.0715
O2 0.2314 0.7132 0.6979
O3 0.2812 0.2812 0.4472
O4 0.2868 0.7686 0.3021
O5 0.7132 0.2314 0.6979
O6 0.7188 0.7188 0.5528
O7 0.7686 0.2868 0.3021
O8 0.7843 0.7843 0.9285